First-principles (PBE) data for a geometry-optimized CaSiC structure, as listed in Alexandria.

Final energy, eV per cell: -31.47

The structure in POSCAR format:
```
CaSiC
1.0
-0.189 -0.369 5.111
1.353 -4.397 -0.268
4.574 1.546 -2.291
Ca C Si
2 2 2
Direct
0.299 0.750 0.598 Ca
0.701 0.250 0.402 Ca
0.160 0.250 0.320 C
0.840 0.750 0.680 C
0.000 0.000 0.000 Si
0.000 0.500 0.000 Si
```